(w)
The following is a PBE calculation of an optimized crystal structure of LiZrSc3, from Alexandria via LeMat-Bulk.

Lattice parameters (Å, degrees): 4.9020 4.9020 4.9020 90.00 90.00 90.00
Space group Pm-3m (No. 221)
Unique sites:
Li: 0.0000 0.0000 0.0000
Zr: 0.5000 0.5000 0.5000
Sc: 0.0000 0.0000 0.5000

Calculated values
Total magnetic moment (Bohr magnetons per cell): 0.0

***

(x)
The following is a PBE calculation of an optimized crystal structure of LiZrSc3, from Alexandria via LeMat-Bulk.

Lattice parameters (Å, degrees): 5.2882 5.2882 5.2882 90.00 90.00 90.00
Space group Pm-3m (No. 221)
Unique sites:
Li: 0.0000 0.0000 0.0000
Zr: 0.5000 0.5000 0.5000
Sc: 0.0000 0.5000 0.5000

Calculated values
Total magnetic moment (Bohr magnetons per cell): 0.0

***

Top of the stability list: (w), leading by 145 meV per atom.